(1)
# PBE BaCuRe2, optimized geometry
# Raw total energy (eV per atom): -6.468
# DOS at the Fermi energy (states/eV/cell): 4.20
# ΔE_f (eV/atom): 1.26
# Distance to the lowest polymorph of the same formula (kJ per mole of atoms): 79.0
data_BaCuRe2
_chemical_formula_sum 'Ba1 Cu1 Re2'
_cell_length_a 10.419
_cell_length_b 10.419
_cell_length_c 10.419
_cell_angle_alpha 15.99
_cell_angle_beta 15.99
_cell_angle_gamma 15.99
_symmetry_space_group_name_H-M 'P 1'
_symmetry_Int_Tables_number 1
loop_
_symmetry_equiv_pos_as_xyz
'x,y,z'
loop_
_atom_site_label
_atom_site_type_symbol
_atom_site_fract_x
_atom_site_fract_y
_atom_site_fract_z
_atom_site_occupancy
Ba1 Ba 0.000 0.000 0.000 1
Cu1 Cu 0.500 0.500 0.500 1
Re1 Re 0.234 0.234 0.234 1
Re2 Re 0.766 0.766 0.766 1

---

(2)
# PBE BaCuReSe2, optimized geometry
# Uncorrected formation energy (eV per atom): 0.888
# Raw total energy (eV per atom): -4.199
# DOS at the Fermi energy (states/eV/cell): 4.38
data_BaCuReSe2
_chemical_formula_sum 'Ba1 Cu1 Re1 Se2'
_cell_length_a 4.885
_cell_length_b 4.885
_cell_length_c 5.687
_cell_angle_alpha 90.00
_cell_angle_beta 90.00
_cell_angle_gamma 90.00
_symmetry_space_group_name_H-M 'P 1'
_symmetry_Int_Tables_number 1
loop_
_symmetry_equiv_pos_as_xyz
'x,y,z'
loop_
_atom_site_label
_atom_site_type_symbol
_atom_site_fract_x
_atom_site_fract_y
_atom_site_fract_z
_atom_site_occupancy
Ba1 Ba 0.000 0.000 0.000 1
Cu1 Cu 0.000 0.000 0.500 1
Re1 Re 0.500 0.500 0.000 1
Se1 Se 0.000 0.500 0.500 1
Se2 Se 0.500 0.000 0.500 1

---

(3)
# PBE Ba2Cu2Rh, optimized geometry
# Raw total energy (eV per atom): -3.969
# DOS at the Fermi energy (states/eV/cell): 2.68
# ΔE_f (eV/atom): -0.09
# Distance to the lowest polymorph of the same formula (kJ per mole of atoms): 0.0
data_Ba2Cu2Rh
_chemical_formula_sum 'Ba2 Cu2 Rh1'
_cell_length_a 4.384
_cell_length_b 4.384
_cell_length_c 9.885
_cell_angle_alpha 103.11
_cell_angle_beta 103.11
_cell_angle_gamma 60.02
_symmetry_space_group_name_H-M 'P 1'
_symmetry_Int_Tables_number 1
loop_
_symmetry_equiv_pos_as_xyz
'x,y,z'
loop_
_atom_site_label
_atom_site_type_symbol
_atom_site_fract_x
_atom_site_fract_y
_atom_site_fract_z
_atom_site_occupancy
Ba1 Ba 0.076 0.076 0.231 1
Ba2 Ba 0.924 0.924 0.769 1
Cu1 Cu 0.181 0.181 0.542 1
Cu2 Cu 0.819 0.819 0.458 1
Rh1 Rh 0.500 0.500 0.500 1

---

(4)
# PBE BaCu2Rh, optimized geometry
# Raw total energy (eV per atom): -3.961
# DOS at the Fermi energy (states/eV/cell): 2.62
# ΔE_f (eV/atom): 0.41
# Distance to the lowest polymorph of the same formula (kJ per mole of atoms): 48.8
data_BaCu2Rh
_chemical_formula_sum 'Ba1 Cu2 Rh1'
_cell_length_a 5.212
_cell_length_b 5.212
_cell_length_c 5.212
_cell_angle_alpha 130.96
_cell_angle_beta 130.96
_cell_angle_gamma 71.88
_symmetry_space_group_name_H-M 'P 1'
_symmetry_Int_Tables_number 1
loop_
_symmetry_equiv_pos_as_xyz
'x,y,z'
loop_
_atom_site_label
_atom_site_type_symbol
_atom_site_fract_x
_atom_site_fract_y
_atom_site_fract_z
_atom_site_occupancy
Ba1 Ba 0.000 0.000 0.000 1
Cu1 Cu 0.250 0.750 0.500 1
Cu2 Cu 0.500 0.500 0.000 1
Rh1 Rh 0.750 0.250 0.500 1

---

(5)
# PBE Ba2CuRh, optimized geometry
# Raw total energy (eV per atom): -3.591
# DOS at the Fermi energy (states/eV/cell): 1.72
# ΔE_f (eV/atom): 0.23
# Distance to the lowest polymorph of the same formula (kJ per mole of atoms): 40.8
data_Ba2CuRh
_chemical_formula_sum 'Ba4 Cu2 Rh2'
_cell_length_a 6.934
_cell_length_b 6.934
_cell_length_c 6.934
_cell_angle_alpha 105.74
_cell_angle_beta 105.74
_cell_angle_gamma 117.23
_symmetry_space_group_name_H-M 'P 1'
_symmetry_Int_Tables_number 1
loop_
_symmetry_equiv_pos_as_xyz
'x,y,z'
loop_
_atom_site_label
_atom_site_type_symbol
_atom_site_fract_x
_atom_site_fract_y
_atom_site_fract_z
_atom_site_occupancy
Ba1 Ba 0.099 0.625 0.974 1
Ba2 Ba 0.375 0.349 0.474 1
Ba3 Ba 0.651 0.125 0.026 1
Ba4 Ba 0.875 0.901 0.526 1
Cu1 Cu 0.250 0.750 0.500 1
Cu2 Cu 0.500 0.500 0.000 1
Rh1 Rh 0.000 0.000 0.000 1
Rh2 Rh 0.750 0.250 0.500 1

---

(6)
# PBE Ba4CuRh, optimized geometry
# Raw total energy (eV per atom): -3.295
# DOS at the Fermi energy (states/eV/cell): 2.58
# ΔE_f (eV/atom): -0.10
# Distance to the lowest polymorph of the same formula (kJ per mole of atoms): 0.0
data_Ba4CuRh
_chemical_formula_sum 'Ba4 Cu1 Rh1'
_cell_length_a 7.823
_cell_length_b 4.627
_cell_length_c 8.030
_cell_angle_alpha 90.00
_cell_angle_beta 109.51
_cell_angle_gamma 90.00
_symmetry_space_group_name_H-M 'P 1'
_symmetry_Int_Tables_number 1
loop_
_symmetry_equiv_pos_as_xyz
'x,y,z'
loop_
_atom_site_label
_atom_site_type_symbol
_atom_site_fract_x
_atom_site_fract_y
_atom_site_fract_z
_atom_site_occupancy
Ba1 Ba 0.231 0.000 0.258 1
Ba2 Ba 0.232 0.500 0.730 1
Ba3 Ba 0.768 0.500 0.270 1
Ba4 Ba 0.769 0.000 0.742 1
Cu1 Cu 0.000 0.500 0.000 1
Rh1 Rh 0.000 0.000 0.500 1

---

(7)
# PBE Ba2CuRh, optimized geometry
# Raw total energy (eV per atom): -3.726
# DOS at the Fermi energy (states/eV/cell): 1.30
# ΔE_f (eV/atom): 0.10
# Distance to the lowest polymorph of the same formula (kJ per mole of atoms): 27.8
data_Ba2CuRh
_chemical_formula_sum 'Ba2 Cu1 Rh1'
_cell_length_a 4.555
_cell_length_b 4.555
_cell_length_c 8.037
_cell_angle_alpha 106.56
_cell_angle_beta 106.56
_cell_angle_gamma 60.10
_symmetry_space_group_name_H-M 'P 1'
_symmetry_Int_Tables_number 1
loop_
_symmetry_equiv_pos_as_xyz
'x,y,z'
loop_
_atom_site_label
_atom_site_type_symbol
_atom_site_fract_x
_atom_site_fract_y
_atom_site_fract_z
_atom_site_occupancy
Ba1 Ba 0.241 0.241 0.224 1
Ba2 Ba 0.759 0.759 0.776 1
Cu1 Cu 0.000 0.000 0.500 1
Rh1 Rh 0.500 0.500 0.000 1

---

(8)
# PBE Ba3Cu4Rh2, optimized geometry
# Raw total energy (eV per atom): -4.124
# DOS at the Fermi energy (states/eV/cell): 4.23
# ΔE_f (eV/atom): -0.03
data_Ba3Cu4Rh2
_chemical_formula_sum 'Ba3 Cu4 Rh2'
_cell_length_a 6.152
_cell_length_b 6.152
_cell_length_c 9.605
_cell_angle_alpha 109.80
_cell_angle_beta 109.80
_cell_angle_gamma 40.70
_symmetry_space_group_name_H-M 'P 1'
_symmetry_Int_Tables_number 1
loop_
_symmetry_equiv_pos_as_xyz
'x,y,z'
loop_
_atom_site_label
_atom_site_type_symbol
_atom_site_fract_x
_atom_site_fract_y
_atom_site_fract_z
_atom_site_occupancy
Ba1 Ba 0.000 0.000 0.000 1
Ba2 Ba 0.392 0.392 0.309 1
Ba3 Ba 0.608 0.608 0.691 1
Cu1 Cu 0.182 0.182 0.437 1
Cu2 Cu 0.270 0.270 0.942 1
Cu3 Cu 0.730 0.730 0.058 1
Cu4 Cu 0.818 0.818 0.563 1
Rh1 Rh 0.332 0.332 0.715 1
Rh2 Rh 0.668 0.668 0.285 1

---

(9)
# PBE BaCu2Rh, optimized geometry
# Raw total energy (eV per atom): -4.026
# DOS at the Fermi energy (states/eV/cell): 2.01
# ΔE_f (eV/atom): 0.34
# Distance to the lowest polymorph of the same formula (kJ per mole of atoms): 42.6
data_BaCu2Rh
_chemical_formula_sum 'Ba1 Cu2 Rh1'
_cell_length_a 5.433
_cell_length_b 5.433
_cell_length_c 5.433
_cell_angle_alpha 142.28
_cell_angle_beta 123.50
_cell_angle_gamma 69.95
_symmetry_space_group_name_H-M 'P 1'
_symmetry_Int_Tables_number 1
loop_
_symmetry_equiv_pos_as_xyz
'x,y,z'
loop_
_atom_site_label
_atom_site_type_symbol
_atom_site_fract_x
_atom_site_fract_y
_atom_site_fract_z
_atom_site_occupancy
Ba1 Ba 0.000 0.000 0.000 1
Cu1 Cu 0.294 0.794 0.500 1
Cu2 Cu 0.498 0.498 0.000 1
Rh1 Rh 0.713 0.213 0.500 1

---

(10)
# PBE BaCu2Rh, optimized geometry
# Raw total energy (eV per atom): -4.146
# DOS at the Fermi energy (states/eV/cell): 3.44
# ΔE_f (eV/atom): 0.22
# Distance to the lowest polymorph of the same formula (kJ per mole of atoms): 31.0
data_BaCu2Rh
_chemical_formula_sum 'Ba1 Cu2 Rh1'
_cell_length_a 3.389
_cell_length_b 3.400
_cell_length_c 6.829
_cell_angle_alpha 90.00
_cell_angle_beta 90.00
_cell_angle_gamma 90.00
_symmetry_space_group_name_H-M 'P 1'
_symmetry_Int_Tables_number 1
loop_
_symmetry_equiv_pos_as_xyz
'x,y,z'
loop_
_atom_site_label
_atom_site_type_symbol
_atom_site_fract_x
_atom_site_fract_y
_atom_site_fract_z
_atom_site_occupancy
Ba1 Ba 0.000 0.000 0.000 1
Cu1 Cu 0.500 0.500 0.328 1
Cu2 Cu 0.500 0.500 0.672 1
Rh1 Rh 0.000 0.000 0.500 1

---

(11)
# PBE BaCu2Rh, optimized geometry
# Raw total energy (eV per atom): -3.978
# DOS at the Fermi energy (states/eV/cell): 3.28
# ΔE_f (eV/atom): 0.39
# Distance to the lowest polymorph of the same formula (kJ per mole of atoms): 47.2
data_BaCu2Rh
_chemical_formula_sum 'Ba1 Cu2 Rh1'
_cell_length_a 5.271
_cell_length_b 5.271
_cell_length_c 5.271
_cell_angle_alpha 132.47
_cell_angle_beta 132.47
_cell_angle_gamma 69.49
_symmetry_space_group_name_H-M 'P 1'
_symmetry_Int_Tables_number 1
loop_
_symmetry_equiv_pos_as_xyz
'x,y,z'
loop_
_atom_site_label
_atom_site_type_symbol
_atom_site_fract_x
_atom_site_fract_y
_atom_site_fract_z
_atom_site_occupancy
Ba1 Ba 0.000 0.000 0.000 1
Cu1 Cu 0.250 0.750 0.500 1
Cu2 Cu 0.750 0.250 0.500 1
Rh1 Rh 0.500 0.500 0.000 1

---

(12)
# PBE Ba2CuRh, optimized geometry
# Raw total energy (eV per atom): -3.954
# DOS at the Fermi energy (states/eV/cell): 1.51
# ΔE_f (eV/atom): -0.13
# Distance to the lowest polymorph of the same formula (kJ per mole of atoms): 5.7
data_Ba2CuRh
_chemical_formula_sum 'Ba2 Cu1 Rh1'
_cell_length_a 4.603
_cell_length_b 6.253
_cell_length_c 6.253
_cell_angle_alpha 43.53
_cell_angle_beta 90.00
_cell_angle_gamma 90.00
_symmetry_space_group_name_H-M 'P 1'
_symmetry_Int_Tables_number 1
loop_
_symmetry_equiv_pos_as_xyz
'x,y,z'
loop_
_atom_site_label
_atom_site_type_symbol
_atom_site_fract_x
_atom_site_fract_y
_atom_site_fract_z
_atom_site_occupancy
Ba1 Ba 0.000 0.000 0.000 1
Ba2 Ba 0.500 0.281 0.281 1
Cu1 Cu 0.500 0.591 0.591 1
Rh1 Rh 0.000 0.685 0.685 1

---

Repeat the sixth record exactly.
# PBE Ba4CuRh, optimized geometry
# Raw total energy (eV per atom): -3.295
# DOS at the Fermi energy (states/eV/cell): 2.58
# ΔE_f (eV/atom): -0.10
# Distance to the lowest polymorph of the same formula (kJ per mole of atoms): 0.0
data_Ba4CuRh
_chemical_formula_sum 'Ba4 Cu1 Rh1'
_cell_length_a 7.823
_cell_length_b 4.627
_cell_length_c 8.030
_cell_angle_alpha 90.00
_cell_angle_beta 109.51
_cell_angle_gamma 90.00
_symmetry_space_group_name_H-M 'P 1'
_symmetry_Int_Tables_number 1
loop_
_symmetry_equiv_pos_as_xyz
'x,y,z'
loop_
_atom_site_label
_atom_site_type_symbol
_atom_site_fract_x
_atom_site_fract_y
_atom_site_fract_z
_atom_site_occupancy
Ba1 Ba 0.231 0.000 0.258 1
Ba2 Ba 0.232 0.500 0.730 1
Ba3 Ba 0.768 0.500 0.270 1
Ba4 Ba 0.769 0.000 0.742 1
Cu1 Cu 0.000 0.500 0.000 1
Rh1 Rh 0.000 0.000 0.500 1